# 1
Here is a relaxed UCdBiAu crystal from the Alexandria database. Energies are from PBE-GGA.

Unit cell a=5.1889 b=5.1889 c=5.1889 alpha=60.00 beta=60.00 gamma=60.00
Last column: magnetic moment on the atom in μB.
Positions (direct):
Cd (0.2500, 0.2500, 0.2500)  0.01
Au (0.0000, 0.0000, 0.0000)  -0.03
Bi (0.5000, 0.5000, 0.5000)  0.01
U (0.7500, 0.7500, 0.7500)  2.58

Computed properties:
- Magnetization: 2.9 μB/f.u.
- Crystal system: cubic
- Raw total energy: -19.24 eV per formula unit
- SG: No. 216
- ΔH_f (0 K): 0.031 eV/atom

---

# 2
Here is a relaxed YCdBiAu crystal from the Alexandria database. Energies are from PBE-GGA.

Unit cell a=5.2187 b=5.2187 c=5.2187 alpha=60.00 beta=60.00 gamma=60.00
Positions (direct):
Bi (0.5000, 0.5000, 0.5000)
Cd (0.7500, 0.7500, 0.7500)
Au (0.0000, 0.0000, 0.0000)
Y (0.2500, 0.2500, 0.2500)

Computed properties:
- Magnetization: 0.0 μB/f.u.
- Crystal system: cubic
- Raw total energy: -16.02 eV per formula unit
- SG: No. 216
- ΔH_f (0 K): -0.371 eV/atom

---

# 3
Here is a relaxed CeBiAu6 crystal from the Alexandria database. Energies are from PBE-GGA.

Unit cell a=5.5881 b=5.5881 c=5.5881 alpha=90.00 beta=90.00 gamma=90.00
Last column: magnetic moment on the atom in μB.
Positions (direct):
Bi (0.5000, 0.5000, 0.5000)  0.01
Au (0.0000, 0.5000, 0.2488)  0.00
Au (0.2488, 0.0000, 0.5000)  0.00
Au (0.7512, 0.0000, 0.5000)  0.00
Au (0.5000, 0.2488, 0.0000)  0.00
Au (0.5000, 0.7512, 0.0000)  0.00
Au (0.0000, 0.5000, 0.7512)  0.00
Ce (0.0000, 0.0000, 0.0000)  0.67

Computed properties:
- Magnetization: 0.8 μB/f.u.
- Crystal system: cubic
- Raw total energy: -31.38 eV per formula unit
- SG: No. 200
- ΔH_f (0 K): -0.238 eV/atom

---

# 4
Here is a relaxed CeBi2Au crystal from the Alexandria database. Energies are from PBE-GGA.

Unit cell a=3.5577 b=3.5577 c=11.0577 alpha=80.74 beta=80.74 gamma=60.00
Last column: magnetic moment on the atom in μB.
Positions (direct):
Ce (0.0000, 0.0000, 0.0000)  1.02
Bi (0.1000, 0.1000, 0.6999)  0.00
Bi (0.9000, 0.9000, 0.3001)  0.00
Au (0.5000, 0.5000, 0.5000)  0.00

Computed properties:
- Magnetization: 1.3 μB/f.u.
- Crystal system: trigonal
- Raw total energy: -16.43 eV per formula unit
- SG: No. 166
- ΔH_f (0 K): 0.136 eV/atom

---

# 5
Here is a relaxed Ce5Bi2Au crystal from the Alexandria database. Energies are from PBE-GGA.

Unit cell a=4.8178 b=8.0746 c=12.5649 alpha=90.00 beta=90.00 gamma=90.00
Last column: magnetic moment on the atom in μB.
Positions (direct):
Ce (0.0000, 0.8557, 0.2177)  0.97
Ce (0.5000, 0.7940, 0.9379)  0.98
Bi (0.5000, 0.5851, 0.1751)  -0.05
Bi (0.5000, 0.4149, 0.8249)  -0.05
Ce (0.0000, 0.0000, 0.5000)  1.13
Ce (0.5000, 0.2060, 0.0621)  0.98
Bi (0.5000, 0.0851, 0.3249)  -0.05
Ce (0.5000, 0.2940, 0.5621)  0.98
Ce (0.0000, 0.6443, 0.7177)  0.97
Au (0.0000, 0.5000, 0.5000)  0.01
Ce (0.5000, 0.7060, 0.4379)  0.98
Au (0.0000, 0.0000, 0.0000)  0.01
Bi (0.5000, 0.9149, 0.6751)  -0.05
Ce (0.0000, 0.3557, 0.2823)  0.97
Ce (0.0000, 0.5000, 0.0000)  1.13
Ce (0.0000, 0.1443, 0.7823)  0.97

Computed properties:
- Magnetization: 6.7 μB/f.u.
- Crystal system: orthorhombic
- Raw total energy: -44.82 eV per formula unit
- SG: No. 55
- ΔH_f (0 K): -0.514 eV/atom

---

# 6
Here is a relaxed Ce2BiAu4 crystal from the Alexandria database. Energies are from PBE-GGA.

Unit cell a=5.0291 b=5.0291 c=8.7842 alpha=73.37 beta=73.37 gamma=60.00
Last column: magnetic moment on the atom in μB.
Positions (direct):
Bi (0.0000, 0.0000, 0.0000)  -0.03
Au (0.3854, 0.3854, 0.8437)  -0.01
Ce (0.7476, 0.7476, 0.7571)  0.61
Ce (0.2524, 0.2524, 0.2429)  0.61
Au (0.8680, 0.8680, 0.3960)  -0.01
Au (0.1320, 0.1320, 0.6040)  -0.01
Au (0.6146, 0.6146, 0.1563)  -0.01

Computed properties:
- Magnetization: 1.2 μB/f.u.
- Crystal system: trigonal
- Raw total energy: -32.30 eV per formula unit
- SG: No. 166
- ΔH_f (0 K): -0.492 eV/atom

---

> What is the ΔH_f (0 K) in the third record?

-0.238 eV/atom

---

> Which formula does entry 2 have?

YCdBiAu

---

> Look up the magnetization of the fifth one.

6.7 μB/f.u.